# 1
The following is a PBE-GGA calculation of an optimized crystal structure of Ac4Pr3NdS8, from the Alexandria database.

Cell lengths 8.4018, 8.4018, 20.5880 Å; angles 90.00, 90.00, 120.00 degrees
Space group R-3m (No. 166, hexagonal axes)
One atom of each set of equivalent atoms:
1 Ac 0.0000 0.0000 0.0000
2 Ac 0.0000 0.5000 0.0000
3 Pr 0.0000 0.5000 0.5000
4 Nd 0.0000 0.0000 0.5000
5 S 0.0000 0.0000 0.2461
6 S 0.0016 0.5008 0.2457

Values from the calculation:
E   -6.295 eV/atom
Size of the total moment   0.0000 μB per atom
E_form (uncorrected)   -32.16 eV/f.u.

# 2
The following is a PBE-GGA calculation of an optimized crystal structure of AcPr2NdS4, from the Alexandria database.

Cell lengths 7.191, 4.122, 7.219 Å; angles 90.00, 109.20, 90.00 degrees
Space group P2/m (No. 10)
One atom of each set of equivalent atoms:
1 Ac 0.000 0.000 0.000
2 Pr 0.500 0.000 0.500
3 Pr 0.500 0.500 0.000
4 Nd 0.000 0.500 0.500
5 S 0.251 0.000 0.744
6 S 0.257 0.500 0.259

Values from the calculation:
E   -6.376 eV/atom
Size of the total moment   0.0000 μB per atom
E_form (uncorrected)   -16.06 eV/f.u.